Entry 1:
Material: CePu2Cl8
Method: DFT, PBE-GGA
State: relaxed

Summary:
Formation energy (no corrections) in eV per atom: -1.92
Energy above the lowest structure with this stoichiometry in eV/f.u.: 0.64

```
CePu2Cl8
1.0
4.240 -6.238 0.000
4.240 6.238 0.000
-1.434 0.000 5.277
Ce Pu Cl
1 2 8
Cartesian
0.000 0.000 0.000
3.523 2.284 2.639
3.523 -2.284 2.639
0.794 1.605 3.137
4.240 3.370 0.000
0.794 -1.605 3.137
2.789 0.000 0.964
4.257 0.000 4.313
6.252 1.605 2.140
4.240 -3.370 0.000
6.252 -1.605 2.140
```

Entry 2:
Material: Zn2InSe2
Method: DFT, PBE-GGA
State: relaxed

Summary:
Formation energy (no corrections) in eV per atom: -0.24
Energy above the lowest structure with this stoichiometry in eV/f.u.: 0.00

```
Zn2InSe2
1.0
-2.066 2.066 7.277
2.066 -2.066 7.277
2.066 2.066 -7.277
Zn In Se
2 1 2
Cartesian
2.066 0.000 3.638
0.000 2.066 3.638
0.000 0.000 0.000
0.000 0.000 5.186
0.000 0.000 9.368
```

Entry 3:
Material: SrCuPtO4
Method: DFT, PBE-GGA
State: relaxed

Summary:
Formation energy (no corrections) in eV per atom: -0.87

```
SrCuPtO4
1.0
3.058 -4.559 0.000
3.058 4.559 0.000
0.000 0.000 7.377
Sr Cu Pt O
2 2 2 8
Cartesian
0.000 0.000 0.000
0.000 0.000 3.688
3.058 1.375 5.533
3.058 -1.375 1.844
3.058 1.575 1.844
3.058 -1.575 5.533
1.637 0.069 1.844
1.637 -0.069 5.533
3.058 1.949 3.735
3.058 1.949 7.330
3.058 -1.949 0.047
3.058 -1.949 3.642
4.480 0.069 1.844
4.480 -0.069 5.533
```

Entry 4:
Material: SmSiAu3
Method: DFT, PBE-GGA
State: relaxed

Summary:
Formation energy (no corrections) in eV per atom: -0.54
Energy above the lowest structure with this stoichiometry in eV/f.u.: 0.14

```
SmSiAu3
1.0
3.046 -5.479 0.000
3.046 5.479 0.000
0.000 0.000 6.134
Sm Si Au
2 2 6
Cartesian
3.046 2.741 4.601
3.046 -2.741 1.534
3.046 4.226 1.534
3.046 -4.226 4.601
1.548 0.000 0.000
1.548 0.000 3.067
3.046 1.859 1.534
3.046 -1.859 4.601
4.545 0.000 0.000
4.545 0.000 3.067
```

Entry 5:
Material: B3PbC
Method: DFT, PBE-GGA
State: relaxed

Summary:
Calculated formation energy in meV per atom: 3769
Energy above the lowest structure with this stoichiometry in eV/f.u.: 8.56

```
B3PbC
1.0
4.642 0.000 0.000
0.000 4.642 0.000
0.000 0.000 4.642
B Pb C
3 1 1
Cartesian
0.000 0.000 2.321
0.000 2.321 0.000
2.321 0.000 0.000
0.000 0.000 0.000
2.321 2.321 2.321
```

Entry 6:
Material: TaBi2As
Method: DFT, PBE-GGA
State: relaxed

Summary:
Calculated formation energy in meV per atom: 905

```
TaBi2As
1.0
-3.282 3.282 6.593
3.282 -3.282 6.593
3.282 3.282 -6.593
Ta Bi As
2 4 2
Cartesian
0.000 0.000 0.000
0.000 3.282 3.297
4.923 1.574 -1.648
1.574 1.641 1.648
-1.641 1.707 4.945
1.707 1.641 8.241
3.282 0.000 3.297
0.000 0.000 6.593
```

Entry 7:
Material: Ba2Ta3S8
Method: DFT, PBE-GGA
State: relaxed

Summary:
Formation energy (no corrections) in eV per atom: -1.25

```
Ba2Ta3S8
1.0
7.594 -3.557 0.000
7.594 3.557 0.000
-1.783 0.000 6.109
Ba Ta S
2 3 8
Cartesian
3.378 0.000 1.155
10.027 0.000 4.954
6.702 1.784 3.054
7.594 0.000 0.000
6.702 -1.784 3.054
0.776 0.000 2.758
5.950 1.722 0.673
7.455 1.722 5.435
5.019 0.000 3.754
8.386 0.000 2.355
5.950 -1.722 0.673
7.455 -1.722 5.435
12.629 0.000 3.351
```

Entry 8:
Material: LaGdTlAg
Method: DFT, PBE-GGA
State: relaxed

Summary:
Calculated formation energy in meV per atom: -340

```
LaGdTlAg
1.0
0.000 3.840 3.840
3.840 0.000 3.840
3.840 3.840 0.000
La Gd Tl Ag
1 1 1 1
Cartesian
0.000 0.000 0.000
3.840 3.840 3.840
1.920 1.920 1.920
5.760 5.760 5.760
```